InTc2Pb at its PBEsol-relaxed geometry, computed with meta-GGA SCAN.

Lattice parameters (Å, degrees): 4.031 4.031 8.668 90.00 90.00 90.00
Positions (direct):
In 0.000 0.000 0.000
In 0.500 0.500 0.500
Tc 0.000 0.000 0.500
Tc 0.000 0.500 0.750
Tc 0.500 0.000 0.250
Tc 0.500 0.500 0.000
Pb 0.000 0.500 0.250
Pb 0.500 0.000 0.750

Results
The value obtained for the density of states at the Fermi level is 6.342 states/eV per cell. As for the calculated formation energy: 0.71 eV per atom.



In3TcPb at its PBEsol-relaxed geometry, computed with meta-GGA SCAN.

Lattice parameters (Å, degrees): 5.547 5.547 5.547 90.00 90.00 90.00
Positions (direct):
In 0.000 0.000 0.500
In 0.000 0.500 0.000
In 0.500 0.000 0.000
Tc 0.500 0.500 0.500
Pb 0.000 0.000 0.000

Results
The value obtained for the density of states at the Fermi level is 3.443 states/eV per cell. As for the calculated formation energy: 1.41 eV per atom.



InTe2Pb at its PBEsol-relaxed geometry, computed with meta-GGA SCAN.

Lattice parameters (Å, degrees): 3.910 5.236 11.117 90.00 90.00 90.00
Positions (direct):
In 0.000 0.000 0.000
In 0.500 0.500 0.500
Te 0.000 0.000 0.506
Te 0.000 0.500 0.272
Te 0.500 0.000 0.772
Te 0.500 0.500 0.006
Pb 0.000 0.500 0.759
Pb 0.500 0.000 0.259

Results
The value obtained for the density of states at the Fermi level is 4.786 states/eV per cell. The calculation puts the uncorrected formation energy at -22 meV per atom.



InTe2Pb at its PBEsol-relaxed geometry, computed with meta-GGA SCAN.

Lattice parameters (Å, degrees): 4.412 4.412 22.083 90.00 90.00 120.00
Positions (direct):
In 0.000 0.000 0.000
In 0.333 0.667 0.667
In 0.667 0.333 0.333
Te 0.000 0.000 0.254
Te 0.000 0.000 0.746
Te 0.333 0.667 0.412
Te 0.333 0.667 0.921
Te 0.667 0.333 0.079
Te 0.667 0.333 0.588
Pb 0.000 0.000 0.500
Pb 0.333 0.667 0.167
Pb 0.667 0.333 0.833

Results
The value obtained for the density of states at the Fermi level is 4.988 states/eV per cell. The calculation puts the uncorrected formation energy at -309 meV per atom.



InTe3Pb at its PBEsol-relaxed geometry, computed with meta-GGA SCAN.

Lattice parameters (Å, degrees): 5.575 5.575 5.575 90.00 90.00 90.00
Positions (direct):
In 0.000 0.000 0.000
Te 0.000 0.000 0.500
Te 0.000 0.500 0.000
Te 0.500 0.000 0.000
Pb 0.500 0.500 0.500

Results
The value obtained for the density of states at the Fermi level is 2.803 states/eV per cell. The calculation puts the uncorrected formation energy at 255 meV per atom.



InTe2Pb at its PBEsol-relaxed geometry, computed with meta-GGA SCAN.

Lattice parameters (Å, degrees): 4.460 4.460 6.314 90.00 90.00 90.00
Positions (direct):
In 0.000 0.000 0.000
Te 0.000 0.000 0.500
Te 0.500 0.500 0.000
Pb 0.500 0.500 0.500

Results
The value obtained for the density of states at the Fermi level is 1.715 states/eV per cell. The calculation puts the uncorrected formation energy at -308 meV per atom.



In6Te10Pb at its PBEsol-relaxed geometry, computed with meta-GGA SCAN.

Lattice parameters (Å, degrees): 10.590 10.590 10.549 90.54 90.54 89.13
Positions (direct):
In 0.038 0.038 0.330
In 0.116 0.394 0.256
In 0.200 0.375 0.881
In 0.352 0.088 0.158
In 0.437 0.480 0.177
In 0.520 0.563 0.823
In 0.606 0.884 0.744
In 0.625 0.800 0.119
In 0.655 0.066 0.421
In 0.912 0.648 0.842
In 0.934 0.345 0.579
In 0.962 0.962 0.670
Te 0.013 0.555 0.441
Te 0.117 0.152 0.567
Te 0.118 0.763 0.738
Te 0.205 0.566 0.071
Te 0.237 0.882 0.262
Te 0.273 0.123 0.906
Te 0.338 0.451 0.668
Te 0.350 0.289 0.339
Te 0.434 0.795 0.929
Te 0.445 0.987 0.559
Te 0.549 0.662 0.332
Te 0.612 0.388 0.000
Te 0.620 0.066 0.155
Te 0.682 0.318 0.500
Te 0.711 0.650 0.661
Te 0.782 0.050 0.843
Te 0.848 0.883 0.433
Te 0.877 0.727 0.094
Te 0.934 0.380 0.845
Te 0.950 0.218 0.157
Pb 0.512 0.215 0.747
Pb 0.785 0.488 0.253

Results
The calculation puts the uncorrected formation energy at -353 meV per atom.



Ti3InPb at its PBEsol-relaxed geometry, computed with meta-GGA SCAN.

Lattice parameters (Å, degrees): 5.030 5.030 5.030 90.00 90.00 90.00
Positions (direct):
Ti 0.000 0.000 0.500
Ti 0.000 0.500 0.000
Ti 0.500 0.000 0.000
In 0.500 0.500 0.500
Pb 0.000 0.000 0.000

Results
The value obtained for the density of states at the Fermi level is 5.338 states/eV per cell. As for the calculated formation energy: 0.86 eV per atom.



TlIn2Pb at its PBEsol-relaxed geometry, computed with meta-GGA SCAN.

Lattice parameters (Å, degrees): 3.324 4.787 6.822 90.00 90.00 90.00
Positions (direct):
Tl 0.000 0.000 0.000
In 0.000 0.000 0.483
In 0.500 0.500 0.245
Pb 0.500 0.500 0.732

Results
The value obtained for the density of states at the Fermi level is 1.649 states/eV per cell. As for the calculated formation energy: 0.05 eV per atom.



TlIn2Pb at its PBEsol-relaxed geometry, computed with meta-GGA SCAN.

Lattice parameters (Å, degrees): 7.610 7.610 7.610 90.00 90.00 90.00
Positions (direct):
Tl 0.000 0.000 0.000
Tl 0.000 0.500 0.500
Tl 0.500 0.000 0.500
Tl 0.500 0.500 0.000
In 0.000 0.000 0.500
In 0.000 0.500 0.000
In 0.250 0.250 0.750
In 0.250 0.750 0.250
In 0.500 0.000 0.000
In 0.500 0.500 0.500
In 0.750 0.250 0.250
In 0.750 0.750 0.750
Pb 0.250 0.250 0.250
Pb 0.250 0.750 0.750
Pb 0.750 0.250 0.750
Pb 0.750 0.750 0.250

Results
The value obtained for the density of states at the Fermi level is 6.587 states/eV per cell. As for the calculated formation energy: 0.06 eV per atom.



TlIn2Pb at its PBEsol-relaxed geometry, computed with meta-GGA SCAN.

Lattice parameters (Å, degrees): 3.315 5.415 6.149 90.00 97.24 90.00
Positions (direct):
Tl 0.000 0.000 0.000
In 0.260 0.500 0.751
In 0.740 0.500 0.249
Pb 0.500 0.000 0.500

Results
The value obtained for the density of states at the Fermi level is 1.795 states/eV per cell. As for the calculated formation energy: 0.06 eV per atom.



TlIn2Pb at its PBEsol-relaxed geometry, computed with meta-GGA SCAN.

Lattice parameters (Å, degrees): 4.801 4.801 9.406 90.00 90.00 90.00
Positions (direct):
Tl 0.000 0.000 0.000
Tl 0.500 0.500 0.500
In 0.000 0.000 0.500
In 0.000 0.500 0.250
In 0.500 0.000 0.750
In 0.500 0.500 0.000
Pb 0.000 0.500 0.750
Pb 0.500 0.000 0.250

Results
The value obtained for the density of states at the Fermi level is 3.161 states/eV per cell. As for the calculated formation energy: 0.06 eV per atom.



| no. | total magnetic moment (μB/atom) | E_tot (eV/cell) |
| --- | --- | --- |
| 1 | 0.48 | -352.9 |
| 2 | 0.81 | -204.0 |
| 3 | 0.00 | -367.5 |
| 4 | 0.00 | -554.7 |
| 5 | 0.00 | -219.6 |
| 6 | 0.00 | -184.9 |
| 7 | 0.00 | -1309.2 |
| 8 | 0.58 | -152.9 |
| 9 | 0.00 | -214.7 |
| 10 | 0.00 | -858.8 |
| 11 | 0.00 | -214.7 |
| 12 | 0.00 | -429.4 |